Entry 1:
VASP calculation (GGA-PBE) on a relaxed Te3Rh crystal.

Results
E_form (uncorrected) = -0.188 eV per atom
final energy = -4.382 eV/atom

a b c (Å): 5.320 5.320 3.996
angles (deg): 90.00 90.00 116.42
Fractional coordinates of all 4 atoms:
Te  0.000  0.000  0.000
Te  0.305  0.695  0.500
Te  0.695  0.305  0.500
Rh  0.500  0.500  0.000

---

Entry 2:
VASP calculation (GGA-PBE) on a relaxed Ba3Hg2As crystal.

Results
energy relative to the elements = -0.71 eV/atom
final energy = -2.543 eV/atom

a b c (Å): 5.839 8.252 9.335
angles (deg): 90.00 108.12 90.00
Fractional coordinates of all 12 atoms:
Ba  0.000  0.246  0.000
Ba  0.000  0.754  0.000
Ba  0.328  0.231  0.656
Ba  0.328  0.769  0.656
Ba  0.672  0.231  0.344
Ba  0.672  0.769  0.344
Hg  0.165  0.500  0.330
Hg  0.500  0.000  0.000
Hg  0.500  0.500  0.000
Hg  0.835  0.500  0.670
As  0.156  0.000  0.312
As  0.844  0.000  0.688

---

Entry 3:
VASP calculation (GGA-PBE) on a relaxed TiAlMoH2 crystal.

Results
distance to the lowest polymorph of the same formula = 0.036 eV per atom
final energy = -5.345 eV/atom

a b c (Å): 3.614 3.614 4.859
angles (deg): 90.00 90.00 90.00
Fractional coordinates of all 5 atoms:
Ti  0.000  0.000  0.000
Al  0.500  0.500  0.000
Mo  0.500  0.500  0.500
H  0.000  0.500  0.500
H  0.500  0.000  0.500

---

Entry 4:
VASP calculation (GGA-PBE) on a relaxed Y3HgC crystal.

Results
energy relative to the elements = -0.43 eV/atom
distance to the lowest polymorph of the same formula = 0.000 eV per atom
final energy = -6.212 eV/atom

a b c (Å): 6.929 6.929 6.929
angles (deg): 60.06 60.06 60.06
Fractional coordinates of all 10 atoms:
Y  0.192  0.750  0.308
Y  0.250  0.692  0.808
Y  0.308  0.192  0.750
Y  0.692  0.808  0.250
Y  0.750  0.308  0.192
Y  0.808  0.250  0.692
Hg  0.250  0.250  0.250
Hg  0.750  0.750  0.750
C  0.000  0.000  0.000
C  0.500  0.500  0.500

---

Entry 5:
VASP calculation (GGA-PBE) on a relaxed TaNb2In crystal.

Results
energy relative to the elements = 0.70 eV/atom
final energy = -7.980 eV/atom

a b c (Å): 6.083 6.083 6.083
angles (deg): 102.78 102.78 123.89
Fractional coordinates of all 8 atoms:
Ta  0.000  0.000  0.000
Ta  0.750  0.250  0.500
Nb  0.108  0.625  0.983
Nb  0.375  0.358  0.483
Nb  0.642  0.125  0.017
Nb  0.875  0.892  0.517
In  0.250  0.750  0.500
In  0.500  0.500  0.000

---

Entry 6:
VASP calculation (GGA-PBE) on a relaxed NbV5W4 crystal.

Results
energy relative to the elements = -0.05 eV/atom
final energy = -10.800 eV/atom

a b c (Å): 3.094 3.094 15.592
angles (deg): 90.00 90.00 90.00
Fractional coordinates of all 10 atoms:
Nb  0.000  0.000  0.000
V  0.500  0.500  0.107
V  0.500  0.500  0.303
V  0.500  0.500  0.500
V  0.500  0.500  0.697
V  0.500  0.500  0.893
W  0.000  0.000  0.203
W  0.000  0.000  0.401
W  0.000  0.000  0.599
W  0.000  0.000  0.797

---

Entry 7:
VASP calculation (GGA-PBE) on a relaxed NpFeRu2 crystal.

Results
energy relative to the elements = -0.05 eV/atom
final energy = -10.040 eV/atom

a b c (Å): 4.017 4.017 3.795
angles (deg): 90.00 90.00 90.00
Fractional coordinates of all 4 atoms:
Np  0.000  0.000  0.000
Fe  0.500  0.500  0.000
Ru  0.000  0.500  0.500
Ru  0.500  0.000  0.500

---

Entry 8:
VASP calculation (GGA-PBE) on a relaxed MgS2BrN crystal.

Results
E_form (uncorrected) = 1.075 eV per atom
distance to the lowest polymorph of the same formula = 0.124 eV per atom
final energy = -2.894 eV/atom

a b c (Å): 5.027 5.027 3.711
angles (deg): 90.00 90.00 90.00
Fractional coordinates of all 5 atoms:
Mg  0.000  0.000  0.000
S  0.000  0.500  0.500
S  0.500  0.000  0.500
Br  0.500  0.500  0.500
N  0.500  0.500  0.000

---

Entry 9:
VASP calculation (GGA-PBE) on a relaxed Mg3HgAu5 crystal.

Results
energy relative to the elements = -0.41 eV/atom
final energy = -2.796 eV/atom

a b c (Å): 8.154 8.154 5.783
angles (deg): 90.00 90.00 120.00
Fractional coordinates of all 18 atoms:
Mg  0.000  0.349  0.250
Mg  0.000  0.651  0.750
Mg  0.349  0.000  0.250
Mg  0.349  0.349  0.750
Mg  0.651  0.000  0.750
Mg  0.651  0.651  0.250
Hg  0.000  0.000  0.000
Hg  0.000  0.000  0.500
Au  0.000  0.326  0.750
Au  0.000  0.674  0.250
Au  0.326  0.000  0.750
Au  0.326  0.326  0.250
Au  0.333  0.667  0.000
Au  0.333  0.667  0.500
Au  0.667  0.333  0.000
Au  0.667  0.333  0.500
Au  0.674  0.000  0.250
Au  0.674  0.674  0.750

---

Entry 10:
VASP calculation (GGA-PBE) on a relaxed Li3PmU3Se8 crystal.

Results
E_form (uncorrected) = -1.291 eV per atom
final energy = -6.107 eV/atom

a b c (Å): 8.057 8.057 8.057
angles (deg): 61.14 61.14 61.14
Fractional coordinates of all 15 atoms:
Li  0.000  0.500  0.500
Li  0.500  0.000  0.500
Li  0.500  0.500  0.000
Pm  0.500  0.500  0.500
U  0.000  0.000  0.500
U  0.000  0.500  0.000
U  0.500  0.000  0.000
Se  0.245  0.245  0.755
Se  0.245  0.755  0.245
Se  0.245  0.755  0.755
Se  0.253  0.253  0.253
Se  0.747  0.747  0.747
Se  0.755  0.245  0.245
Se  0.755  0.245  0.755
Se  0.755  0.755  0.245

---

Entry 11:
VASP calculation (GGA-PBE) on a relaxed YGaAs2O8 crystal.

Results
E_form (uncorrected) = -1.752 eV per atom
final energy = -6.623 eV/atom

a b c (Å): 5.821 5.821 5.821
angles (deg): 106.41 106.41 115.78
Fractional coordinates of all 12 atoms:
Y  0.000  0.000  0.000
Ga  0.250  0.750  0.500
As  0.500  0.500  0.000
As  0.750  0.250  0.500
O  0.319  0.130  0.811
O  0.319  0.508  0.189
O  0.380  0.058  0.322
O  0.492  0.681  0.811
O  0.735  0.058  0.678
O  0.870  0.681  0.189
O  0.942  0.265  0.322
O  0.942  0.620  0.678

---

Entry 12:
VASP calculation (GGA-PBE) on a relaxed CePmNbN3 crystal.

Results
E_form (uncorrected) = -1.040 eV per atom
final energy = -8.661 eV/atom

a b c (Å): 7.428 3.436 8.008
angles (deg): 90.00 90.31 90.00
Fractional coordinates of all 12 atoms:
Ce  0.141  0.250  0.342
Ce  0.859  0.750  0.658
Pm  0.393  0.750  0.664
Pm  0.607  0.250  0.336
Nb  0.124  0.250  0.924
Nb  0.876  0.750  0.076
N  0.133  0.250  0.663
N  0.164  0.750  0.064
N  0.365  0.750  0.380
N  0.635  0.250  0.620
N  0.836  0.250  0.936
N  0.867  0.750  0.337